Here is K2ZnGa after structural relaxation from the Alexandria database. Energies are from PBE.

Properties
Total energy in eV/atom: -1.613
Calculated density in kg/m³: 2589
E_form in eV/atom: 0.01
Magnetization in μB/f.u.: 0.0
ΔE to the lowest computed polymorph in eV/atom: 0.000

Lattice parameters (Å, degrees): 6.5291 6.6180 6.6180 106.86 90.00 90.00
Element x y z (fractional)
Zn1 0.0000 0.5000 0.5000
Zn2 0.5000 0.5000 0.5000
Ga1 0.2500 0.7415 0.7415
Ga2 0.7500 0.2585 0.2585
K1 0.2500 0.3214 0.9800
K2 0.7500 0.0200 0.6786
K3 0.2500 0.9800 0.3214
K4 0.7500 0.6786 0.0200

Here is K2ZnGa7 after structural relaxation from the Alexandria database. Energies are from PBE.

Properties
Total energy in eV/atom: -2.592
Calculated density in kg/m³: 4727
E_form in eV/atom: -0.13
Magnetization in μB/f.u.: 0.0

Lattice parameters (Å, degrees): 4.4532 4.4532 11.1884 90.00 90.00 90.00
Element x y z (fractional)
Ga1 0.0000 0.5000 0.6338
Ga2 0.5000 0.0000 0.3662
Ga3 0.5000 0.0000 0.1327
Ga4 0.0000 0.0000 0.5000
Ga5 0.5000 0.5000 0.5000
Ga6 0.0000 0.0000 0.0000
Ga7 0.0000 0.5000 0.8673
K1 0.0000 0.5000 0.2501
K2 0.5000 0.0000 0.7499
Zn1 0.5000 0.5000 0.0000

Here is KZn2Ga4 after structural relaxation from the Alexandria database. Energies are from PBE.

Properties
Total energy in eV/atom: -2.246
Calculated density in kg/m³: 5275
E_form in eV/atom: 0.00
Magnetization in μB/f.u.: 0.0

Lattice parameters (Å, degrees): 5.0313 5.9135 5.9115 69.38 65.05 65.04
Element x y z (fractional)
Ga1 0.3147 0.3898 0.9929
Ga2 0.6849 0.0076 0.6102
Ga3 0.6851 0.6103 0.0071
Ga4 0.3149 0.9925 0.3898
K1 0.9999 0.0000 0.0000
Zn1 0.2146 0.5321 0.5321
Zn2 0.7858 0.4679 0.4679

Here is KZnGa5 after structural relaxation from the Alexandria database. Energies are from PBE.

Properties
Total energy in eV/atom: -2.543
Calculated density in kg/m³: 4571
E_form in eV/atom: -0.04
Magnetization in μB/f.u.: 0.0

Lattice parameters (Å, degrees): 4.0825 4.0825 9.8755 90.00 90.00 90.00
Element x y z (fractional)
Ga1 0.5000 0.0000 0.7951
Ga2 0.0000 0.5000 0.2049
Ga3 0.5000 0.5000 0.0000
Ga4 0.0000 0.5000 0.7951
Ga5 0.5000 0.0000 0.2049
Zn1 0.0000 0.0000 0.0000
K1 0.0000 0.0000 0.5000

Here is KZn5Ga7 after structural relaxation from the Alexandria database. Energies are from PBE.

Properties
Total energy in eV/atom: -2.208
Calculated density in kg/m³: 5880
E_form in eV/atom: 0.00
Magnetization in μB/f.u.: 0.0

Lattice parameters (Å, degrees): 5.2875 7.2550 7.2550 80.81 68.63 68.63
Element x y z (fractional)
Zn1 0.4994 0.9974 0.5046
Zn2 0.7242 0.7758 0.7758
Zn3 0.9986 0.5046 0.9974
Zn4 0.4994 0.5046 0.9974
Zn5 0.9986 0.9974 0.5046
K1 0.9996 0.0004 0.0004
Ga1 0.6471 0.3529 0.3529
Ga2 0.2818 0.2182 0.2182
Ga3 0.9997 0.6470 0.3536
Ga4 0.3490 0.6510 0.6510
Ga5 0.5015 0.2154 0.7817
Ga6 0.5015 0.7817 0.2154
Ga7 0.9997 0.3536 0.6470

Here is KZnGa2 after structural relaxation from the Alexandria database. Energies are from PBE.

Properties
Total energy in eV/atom: -2.185
Calculated density in kg/m³: 3995
E_form in eV/atom: -0.08
Magnetization in μB/f.u.: 0.0

Lattice parameters (Å, degrees): 4.2870 6.7456 7.3954 90.00 90.00 108.53
Element x y z (fractional)
Ga1 0.6763 0.3527 0.0666
Ga2 0.3237 0.6473 0.5666
Ga3 0.3237 0.6473 0.9334
Ga4 0.6763 0.3527 0.4334
K1 0.0385 0.0769 0.7500
K2 0.9615 0.9231 0.2500
Zn1 0.2380 0.4760 0.2500
Zn2 0.7620 0.5240 0.7500